Record 1
Computed, not measured: an optimized crystal structure of NaLaY2S4 at the PBE-GGA level of DFT.

```
8
Lattice="3.9783 0.0000 0.0000 0.0000 6.9069 0.1344 0.0000 -2.4158 6.6181" Properties=species:S:1:pos:R:3 pbc="T T T"
Na 0.0000 0.0000 0.0000
La 1.9892 3.4535 0.0672
Y 1.9892 -1.2079 3.3090
Y 0.0000 2.2456 3.3763
S 1.9892 1.1134 1.7896
S 1.9892 3.3777 4.9629
S 0.0000 -0.1123 4.8995
S 0.0000 4.6034 1.8531
```

- final energy (eV/atom) = -6.42
- energy relative to the elements, uncorrected (eV per atom) = -1.961


Record 2
Computed, not measured: an optimized crystal structure of Be2InPb at the PBE-GGA level of DFT.

```
4
Lattice="-4.8645 2.8695 -0.8211 -4.5352 -2.4124 -2.4867 3.7859 -1.0679 4.1350" Properties=species:S:1:pos:R:3 pbc="T T T"
Pb -2.8892 1.0151 0.8300
Be 0.0000 0.0000 0.0000
Be -2.7246 -1.6259 -0.0028
In -4.6998 0.2286 -1.6539
```

- final energy (eV/atom) = -2.73
- ΔH_f (0 K) (kJ/mol of formula units) = 288
- E above lowest polymorph (meV/atom) = 400


Record 3
Computed, not measured: an optimized crystal structure of SbTe2AsH at the PBE-GGA level of DFT.

```
5
Lattice="-1.7587 1.6901 -4.7567 -2.6763 -4.5832 -0.6390 -3.0742 1.5594 1.6907" Properties=species:S:1:pos:R:3 pbc="T T T"
Sb -1.5371 0.7797 0.8454
As -3.7546 -0.6668 -1.8525
Te -1.3381 -2.2916 -0.3195
Te -0.8794 0.8451 -2.3784
H 0.0000 0.0000 0.0000
```

- final energy (eV/atom) = -3.15
- E above lowest polymorph (meV/atom) = 0


Record 4
Computed, not measured: an optimized crystal structure of Ac4Rh2SeS at the PBE-GGA level of DFT.

```
8
Lattice="4.2990 0.0000 0.0000 0.0000 7.4495 0.1322 0.0000 -2.6127 7.5300" Properties=species:S:1:pos:R:3 pbc="T T T"
Ac 2.1495 1.1814 2.0591
Ac 2.1495 3.6554 5.6031
Ac 0.0000 -0.1150 5.5078
Ac 0.0000 4.9518 2.1544
Rh 2.1495 -1.3064 3.7650
Rh 0.0000 2.4184 3.8311
Se 2.1495 3.7248 0.0661
S 0.0000 0.0000 0.0000
```

- final energy (eV/atom) = -6.12
- energy relative to the elements, uncorrected (eV per atom) = -1.274


Record 5
Computed, not measured: an optimized crystal structure of V2CoPt2 at the PBE-GGA level of DFT.

```
10
Lattice="4.0930 0.0000 0.0000 0.0000 5.2034 0.0000 -2.0465 0.0000 6.6586" Properties=species:S:1:pos:R:3 pbc="T T T"
V 0.0000 2.0411 5.2665
V 2.0465 0.2254 4.4098
V 0.0000 2.8271 2.2488
V 2.0465 4.6428 1.3921
Co 0.0000 4.9448 5.6243
Co 2.0465 2.3430 1.0343
Pt 2.0465 3.4944 6.3927
Pt 2.0465 3.0021 3.7101
Pt 0.0000 0.4004 2.9485
Pt 0.0000 0.8926 0.2660
```

- final energy (eV/atom) = -7.71
- ΔH_f (0 K) (kJ/mol of formula units) = -109
- E above lowest polymorph (meV/atom) = 159


Record 6
Computed, not measured: an optimized crystal structure of RbNdZnCl6 at the PBE-GGA level of DFT.

```
18
Lattice="6.8988 0.0000 0.0000 -3.4494 5.9745 0.0000 0.0000 0.0000 14.4911" Properties=species:S:1:pos:R:3 pbc="T T T"
Rb 0.0000 0.0000 0.0000
Rb 0.0000 0.0000 7.2455
Nd 0.0000 3.9830 3.6228
Nd 3.4494 1.9915 10.8683
Zn 3.4494 1.9915 3.6228
Zn 0.0000 3.9830 10.8683
Cl 2.2921 3.6482 2.1319
Cl 5.4628 2.1654 2.1319
Cl -0.8561 5.8136 9.3774
Cl -2.0134 3.8091 12.3592
Cl 1.4360 2.1654 5.1136
Cl 4.6067 3.6482 5.1136
Cl 0.8561 5.8136 12.3592
Cl 4.3055 0.1609 5.1136
Cl -1.1573 2.3263 9.3774
Cl 2.5933 0.1609 2.1319
Cl 2.0134 3.8091 9.3774
Cl 1.1573 2.3263 12.3592
```

- final energy (eV/atom) = -3.82
- energy relative to the elements, uncorrected (eV per atom) = -1.815


Record 7
Computed, not measured: an optimized crystal structure of Y2SbOs at the PBE-GGA level of DFT.

```
4
Lattice="6.6116 0.0253 -0.0048 3.9886 5.2730 0.0048 -4.8787 -3.4921 2.7779" Properties=species:S:1:pos:R:3 pbc="T T T"
Os 5.2338 2.6161 0.0000
Sb 2.8216 2.5232 1.3914
Y 10.5269 5.2617 0.0000
Y 3.0395 -0.6473 1.3865
```

- final energy (eV/atom) = -7.48
- energy relative to the elements, uncorrected (eV per atom) = -0.408


Record 8
Computed, not measured: an optimized crystal structure of MgFe2NiC at the PBE-GGA level of DFT.

```
5
Lattice="-3.2431 -0.2155 -1.9341 0.0275 -3.7636 0.3733 -2.0054 0.3154 3.3275" Properties=species:S:1:pos:R:3 pbc="T T T"
C 0.0000 0.0000 0.0000
Ni -1.0027 0.1577 1.6638
Mg -2.6105 -1.8319 0.8834
Fe 0.0137 -1.8818 0.1867
Fe -1.6216 -0.1078 -0.9671
```

- final energy (eV/atom) = -6.73
- ΔH_f (0 K) (kJ/mol of formula units) = -11


Record 9
Computed, not measured: an optimized crystal structure of Sm3MgSi2Pt9 at the PBE-GGA level of DFT.

```
15
Lattice="-3.0653 -3.3796 3.4689 4.7876 -1.9900 -2.4434 5.7437 3.4543 8.4407" Properties=species:S:1:pos:R:3 pbc="T T T"
Sm 5.5820 -0.4012 4.5415
Sm 0.0000 0.0000 0.0000
Sm 1.8840 -1.5141 4.9247
Mg 2.8719 1.7272 4.2204
Si 3.0926 -1.8984 0.8832
Si 4.3735 -0.0170 8.5831
Pt 2.1645 -0.7738 8.3299
Pt 4.6276 -1.7977 7.0728
Pt 3.7415 0.9649 6.5452
Pt 3.7245 -2.8803 2.9211
Pt 2.8384 -0.1177 2.3935
Pt 5.3015 -1.1415 1.1364
Pt -1.5326 -1.6898 1.7345
Pt 2.3938 -0.9950 -1.2217
Pt 0.8612 -2.6848 0.5128
```

- final energy (eV/atom) = -6.22
- energy relative to the elements, uncorrected (eV per atom) = -0.821


Record 10
Computed, not measured: an optimized crystal structure of TlGaCu3 at the PBE-GGA level of DFT.

```
5
Lattice="4.6320 0.0000 0.0000 0.0000 4.6320 0.0000 0.0000 0.0000 4.6320" Properties=species:S:1:pos:R:3 pbc="T T T"
Tl 2.3160 2.3160 2.3160
Cu 0.0000 2.3160 0.0000
Cu 0.0000 0.0000 2.3160
Cu 2.3160 0.0000 0.0000
Ga 0.0000 0.0000 0.0000
```

- final energy (eV/atom) = -3.09
- ΔH_f (0 K) (kJ/mol of formula units) = 214
- E above lowest polymorph (meV/atom) = 0


Record 11
Computed, not measured: an optimized crystal structure of Ce2Pu2N5 at the PBE-GGA level of DFT.

```
18
Lattice="6.6623 0.0000 0.0000 0.0000 6.5866 0.0000 0.0000 -3.2933 5.8042" Properties=species:S:1:pos:R:3 pbc="T T T"
Ce 4.4128 5.5288 0.0000
Ce 2.2495 1.0578 0.0000
Ce 1.0816 4.3510 0.0000
Ce 5.5807 2.2355 0.0000
Pu 0.0000 0.0000 2.3781
Pu 3.3312 3.2933 2.3781
Pu 0.0000 3.2933 3.4260
Pu 3.3312 0.0000 3.4260
N 0.0000 0.0000 0.0000
N 3.3312 3.2933 0.0000
N 5.6930 4.3720 1.6300
N 0.9693 2.2146 1.6300
N 2.3619 5.5079 1.6300
N 4.3004 1.0787 1.6300
N 0.9693 -1.0787 4.1741
N 5.6930 1.0787 4.1741
N 4.3004 -2.2146 4.1741
N 2.3619 2.2146 4.1741
```

- final energy (eV/atom) = -10.29
- energy relative to the elements, uncorrected (eV per atom) = -1.165


Record 12
Computed, not measured: an optimized crystal structure of Al2CdInGa at the PBE-GGA level of DFT.

```
5
Lattice="5.2491 0.0000 0.0000 0.0000 5.4780 0.0000 0.0000 0.0000 5.2491" Properties=species:S:1:pos:R:3 pbc="T T T"
Cd 0.0000 2.7390 0.0000
Al 0.0000 0.0000 2.6246
Al 2.6246 0.0000 0.0000
Ga 2.6246 2.7390 2.6246
In 0.0000 0.0000 0.0000
```

- final energy (eV/atom) = -2.08
- ΔH_f (0 K) (kJ/mol of formula units) = 362